## w
{
  "formula": "TmSc2O",
  "functional": "PBE",
  "state": "optimized geometry",
  "space_group": "No. 166",
  "lattice": [[3.248, 0.000, 0.000], [1.624, 2.813, 0.000], [1.624, 0.938, 8.649]],
  "species": ["Sc", "Sc", "Tm", "O"],
  "fractional_positions": [[0.120, 0.120, 0.639], [0.880, 0.880, 0.361], [0.000, 0.000, 0.000], [0.500, 0.500, 0.500]]
}

---

## x
{
  "formula": "TmSc2O",
  "functional": "PBE",
  "state": "optimized geometry",
  "space_group": "No. 123",
  "lattice": [[-1.067, 1.437, 2.395], [1.009, -2.192, 1.765], [7.122, 3.932, 0.813]],
  "species": ["Sc", "Sc", "Tm", "O"],
  "fractional_positions": [[0.000, 0.000, 0.828], [0.000, 0.000, 0.172], [0.500, 0.500, 0.500], [0.500, 0.500, 0.000]]
}

---

The structure with the least stability is x.